# 1
Ba2CaMg12Hg3: optimized geometry, PBE.

Summary:
- Calculated formation energy: 0.1124 eV per atom

Unit cell a=9.7760 b=9.7760 c=9.7760 alpha=54.71 beta=54.71 gamma=54.71
Last column: nearest neighbours and their distance in Å.
Fractional positions:
Ba 0.0884 0.0884 0.0884  6 Mg 3.45-3.60
Ba 0.9116 0.9116 0.9116  6 Mg 3.45-3.60
Ca 0.5000 0.5000 0.5000  12 Mg 3.18-3.46
Mg 0.0342 0.6663 0.6663  1 Hg 3.12, 4 Mg 3.22-3.31, 1 Ca 3.46
Mg 0.2789 0.2789 0.6259  2 Hg 2.76
Mg 0.2789 0.6259 0.2789  2 Hg 2.76
Mg 0.3337 0.3337 0.9658  1 Hg 3.12, 4 Mg 3.22-3.31, 1 Ca 3.46
Mg 0.3337 0.9658 0.3337  1 Hg 3.12, 4 Mg 3.22-3.31, 1 Ca 3.46
Mg 0.3741 0.7211 0.7211  2 Hg 2.76
Mg 0.6259 0.2789 0.2789  2 Hg 2.76
Mg 0.6663 0.0342 0.6663  1 Hg 3.12, 4 Mg 3.22-3.31, 1 Ca 3.46
Mg 0.6663 0.6663 0.0342  1 Hg 3.12, 4 Mg 3.22-3.31, 1 Ca 3.46
Mg 0.7211 0.3741 0.7211  2 Hg 2.76
Mg 0.7211 0.7211 0.3741  2 Hg 2.76
Mg 0.9658 0.3337 0.3337  1 Hg 3.12, 4 Mg 3.22-3.31, 1 Ca 3.46
Hg 0.0000 0.5000 0.5000  4 Mg 2.76
Hg 0.5000 0.0000 0.5000  4 Mg 2.76
Hg 0.5000 0.5000 0.0000  4 Mg 2.76


# 2
BaCa2HgN: optimized geometry, PBE.

Summary:
- Formation energy (no corrections): -12.363 kcal/mol of atoms

Unit cell a=4.8740 b=4.8740 c=5.8496 alpha=90.00 beta=90.00 gamma=90.00
Last column: nearest neighbours and their distance in Å.
Fractional positions:
Ba 0.0000 0.0000 0.0000  2 N 2.92
Ca 0.0000 0.5000 0.5000  2 N 2.44
Ca 0.5000 0.0000 0.5000  2 N 2.44
Hg 0.5000 0.5000 0.0000  4 Ba 3.45, 8 Ca 3.81
N 0.0000 0.0000 0.5000  4 Ca 2.44


# 3
Ba2Na2CaHg5: optimized geometry, PBE.

Summary:
- Calculated formation energy: -0.3593 eV per atom

Unit cell a=11.9783 b=11.9783 c=4.2774 alpha=90.00 beta=90.00 gamma=90.00
Last column: nearest neighbours and their distance in Å.
Fractional positions:
Ba 0.1773 0.3227 0.0000  3 Na 3.36-3.67, 2 Hg 3.69
Ba 0.3227 0.8227 0.0000  3 Na 3.36-3.67, 2 Hg 3.69
Ba 0.6773 0.1773 0.0000  3 Na 3.36-3.67, 2 Hg 3.69
Ba 0.8227 0.6773 0.0000  3 Na 3.36-3.67, 2 Hg 3.69
Na 0.1240 0.6240 0.0000  6 Hg 3.00-3.15
Na 0.3760 0.1240 0.0000  6 Hg 3.00-3.15
Na 0.6240 0.8760 0.0000  6 Hg 3.00-3.15
Na 0.8760 0.3760 0.0000  6 Hg 3.00-3.15
Ca 0.0000 0.0000 0.0000  8 Hg 3.24
Ca 0.5000 0.5000 0.0000  8 Hg 3.24
Hg 0.0000 0.5000 0.5000  4 Na 3.00
Hg 0.0547 0.8039 0.5000  2 Na 3.15, 2 Ca 3.24, 2 Hg 3.45
Hg 0.1961 0.0547 0.5000  2 Na 3.15, 2 Ca 3.24, 2 Hg 3.45
Hg 0.3039 0.5547 0.5000  2 Na 3.15, 2 Ca 3.24, 2 Hg 3.45
Hg 0.4453 0.3039 0.5000  2 Na 3.15, 2 Ca 3.24, 2 Hg 3.45
Hg 0.5000 0.0000 0.5000  4 Na 3.00
Hg 0.5547 0.6961 0.5000  2 Na 3.15, 2 Ca 3.24, 2 Hg 3.45
Hg 0.6961 0.4453 0.5000  2 Na 3.15, 2 Ca 3.24, 2 Hg 3.45
Hg 0.8039 0.9453 0.5000  2 Na 3.15, 2 Ca 3.24, 2 Hg 3.45
Hg 0.9453 0.1961 0.5000  2 Na 3.15, 2 Ca 3.24, 2 Hg 3.45